1.
# PBEsol Mg2ScCo, relaxed
data_Mg2ScCo
_space_group_name_H-M_alt 'R -3 m'
_space_group_IT_number 166
_space_group_name_Hall '-R 3 2"'
_cell_length_a 3.0030
_cell_length_b 3.0030
_cell_length_c 28.1509
_cell_angle_alpha 90.00
_cell_angle_beta 90.00
_cell_angle_gamma 120.00
loop_
_atom_site_label
_atom_site_fract_x
_atom_site_fract_y
_atom_site_fract_z
Mg1 0.0000 0.0000 0.2364
Sc1 0.0000 0.0000 0.0000
Co1 0.0000 0.0000 0.5000
# - Energy of formation: 271 meV/atom
# - Total energy: -50.08 eV per cell
# - DOS(E_F): 1.19 states/eV per atom
# - M_tot: 4.00 μB/cell

2.
# PBEsol Mg2ScTlCo, relaxed
data_Mg2ScTlCo
_space_group_name_H-M_alt 'P 4/m m m'
_space_group_IT_number 123
_space_group_name_Hall '-P 4 2'
_cell_length_a 5.6442
_cell_length_b 5.6442
_cell_length_c 4.1659
_cell_angle_alpha 90.00
_cell_angle_beta 90.00
_cell_angle_gamma 90.00
loop_
_atom_site_label
_atom_site_fract_x
_atom_site_fract_y
_atom_site_fract_z
Mg1 0.0000 0.5000 0.0000
Sc1 0.0000 0.0000 0.0000
Tl1 0.5000 0.5000 0.5000
Co1 0.0000 0.0000 0.5000
# - Energy of formation: 843 meV/atom
# - Total energy: -16.19 eV per cell
# - DOS(E_F): 0.71 states/eV per atom
# - M_tot: 0.00 μB/cell

3.
# PBEsol MgCo2Se, relaxed
data_MgCo2Se
_space_group_name_H-M_alt 'F -4 3 m'
_space_group_IT_number 216
_space_group_name_Hall 'F -4 2 3'
_cell_length_a 6.0474
_cell_length_b 6.0474
_cell_length_c 6.0474
_cell_angle_alpha 90.00
_cell_angle_beta 90.00
_cell_angle_gamma 90.00
loop_
_atom_site_label
_atom_site_fract_x
_atom_site_fract_y
_atom_site_fract_z
Mg1 0.0000 0.0000 0.0000
Co1 0.0000 0.0000 0.5000
Co2 0.2500 0.2500 0.7500
Se1 0.2500 0.2500 0.2500
# - Excess energy over the best structure of this formula in the dataset: 11.0 kJ/mol of atoms
# - Total energy: -79.71 eV per cell
# - ΔE_f (raw): 0.28 eV/atom
# - DOS(E_F): 1.30 states/eV per atom
# - M_tot: 11.14 μB/cell

4.
# PBEsol MgCo2Se, relaxed
data_MgCo2Se
_space_group_name_H-M_alt 'I 4/m m m'
_space_group_IT_number 139
_space_group_name_Hall '-I 4 2'
_cell_length_a 3.7178
_cell_length_b 3.7178
_cell_length_c 7.6744
_cell_angle_alpha 90.00
_cell_angle_beta 90.00
_cell_angle_gamma 90.00
loop_
_atom_site_label
_atom_site_fract_x
_atom_site_fract_y
_atom_site_fract_z
Mg1 0.0000 0.0000 0.0000
Co1 0.0000 0.5000 0.2500
Se1 0.0000 0.0000 0.5000
# - Excess energy over the best structure of this formula in the dataset: 0.0 kJ/mol of atoms
# - Total energy: -40.77 eV per cell
# - ΔE_f (raw): 0.16 eV/atom
# - DOS(E_F): 1.40 states/eV per atom
# - M_tot: 4.89 μB/cell

5.
# PBEsol Mg2CoSi, relaxed
data_Mg2CoSi
_space_group_name_H-M_alt 'F -4 3 m'
_space_group_IT_number 216
_space_group_name_Hall 'F -4 2 3'
_cell_length_a 6.0560
_cell_length_b 6.0560
_cell_length_c 6.0560
_cell_angle_alpha 90.00
_cell_angle_beta 90.00
_cell_angle_gamma 90.00
loop_
_atom_site_label
_atom_site_fract_x
_atom_site_fract_y
_atom_site_fract_z
Mg1 0.0000 0.0000 0.0000
Mg2 0.2500 0.2500 0.2500
Co1 0.0000 0.0000 0.5000
Si1 0.2500 0.2500 0.7500
# - Total energy: -67.69 eV per cell
# - ΔE_f (raw): 0.00 eV/atom
# - DOS(E_F): 0.55 states/eV per atom
# - M_tot: 0.00 μB/cell

6.
# PBEsol Mg2CoSi, relaxed
data_Mg2CoSi
_space_group_name_H-M_alt 'I 4/m m m'
_space_group_IT_number 139
_space_group_name_Hall '-I 4 2'
_cell_length_a 3.7724
_cell_length_b 3.7724
_cell_length_c 8.1090
_cell_angle_alpha 90.00
_cell_angle_beta 90.00
_cell_angle_gamma 90.00
loop_
_atom_site_label
_atom_site_fract_x
_atom_site_fract_y
_atom_site_fract_z
Mg1 0.0000 0.5000 0.2500
Co1 0.0000 0.0000 0.0000
Si1 0.0000 0.0000 0.5000
# - Total energy: -33.33 eV per cell
# - ΔE_f (raw): 0.06 eV/atom
# - DOS(E_F): 0.58 states/eV per atom
# - M_tot: 0.01 μB/cell

7.
# PBEsol Sm4Mg3Co2, relaxed
data_Sm4Mg3Co2
_space_group_name_H-M_alt 'P 1 2/m 1'
_space_group_IT_number 10
_space_group_name_Hall '-P 2y'
_cell_length_a 7.4824
_cell_length_b 3.7220
_cell_length_c 8.1523
_cell_angle_alpha 90.00
_cell_angle_beta 109.92
_cell_angle_gamma 90.00
loop_
_atom_site_label
_atom_site_fract_x
_atom_site_fract_y
_atom_site_fract_z
Sm1 0.0969 0.0000 0.2243
Sm2 0.3985 0.0000 0.6776
Mg1 0.0000 0.5000 0.5000
Mg2 0.2942 0.5000 0.0019
Co1 0.3492 0.5000 0.3918
# - Energy of formation: -122 meV/atom
# - Total energy: -42.09 eV per cell
# - DOS(E_F): 0.82 states/eV per atom
# - M_tot: 0.00 μB/cell

8.
# PBEsol MgTaCo2, relaxed
data_MgTaCo2
_space_group_name_H-M_alt 'P 4/m m m'
_space_group_IT_number 123
_space_group_name_Hall '-P 4 2'
_cell_length_a 3.0166
_cell_length_b 3.0166
_cell_length_c 6.0798
_cell_angle_alpha 90.00
_cell_angle_beta 90.00
_cell_angle_gamma 90.00
loop_
_atom_site_label
_atom_site_fract_x
_atom_site_fract_y
_atom_site_fract_z
Mg1 0.0000 0.0000 0.0000
Ta1 0.0000 0.0000 0.5000
Co1 0.5000 0.5000 0.2751
# - Energy of formation: -136 meV/atom
# - Total energy: -30.29 eV per cell
# - DOS(E_F): 0.74 states/eV per atom
# - M_tot: 0.48 μB/cell

9.
# PBEsol MgTaCo, relaxed
data_MgTaCo
_space_group_name_H-M_alt 'F -4 3 m'
_space_group_IT_number 216
_space_group_name_Hall 'F -4 2 3'
_cell_length_a 5.8707
_cell_length_b 5.8707
_cell_length_c 5.8707
_cell_angle_alpha 90.00
_cell_angle_beta 90.00
_cell_angle_gamma 90.00
loop_
_atom_site_label
_atom_site_fract_x
_atom_site_fract_y
_atom_site_fract_z
Mg1 0.0000 0.0000 0.0000
Ta1 0.2500 0.2500 0.2500
Co1 0.2500 0.2500 0.7500
# - Excess energy over the best structure of this formula in the dataset: 130.5 kJ/mol of atoms
# - Energy of formation: 1441 meV/atom
# - Total energy: -70.73 eV per cell
# - DOS(E_F): 1.29 states/eV per atom
# - M_tot: 2.06 μB/cell

10.
# PBEsol MgTaCo2, relaxed
data_MgTaCo2
_space_group_name_H-M_alt 'P m m 2'
_space_group_IT_number 25
_space_group_name_Hall 'P 2 -2'
_cell_length_a 2.7110
_cell_length_b 3.9971
_cell_length_c 5.0302
_cell_angle_alpha 90.00
_cell_angle_beta 90.00
_cell_angle_gamma 90.00
loop_
_atom_site_label
_atom_site_fract_x
_atom_site_fract_y
_atom_site_fract_z
Mg1 0.0000 0.0000 0.0000
Ta1 0.5000 0.5000 0.3309
Co1 0.0000 0.0000 0.5167
Co2 0.5000 0.5000 0.8153
# - Energy of formation: 199 meV/atom
# - Total energy: -28.95 eV per cell
# - DOS(E_F): 0.93 states/eV per atom
# - M_tot: 0.00 μB/cell

11.
# PBEsol MgTaCo2, relaxed
data_MgTaCo2
_space_group_name_H-M_alt 'P 4 m m'
_space_group_IT_number 99
_space_group_name_Hall 'P 4 -2'
_cell_length_a 2.7477
_cell_length_b 2.7477
_cell_length_c 7.5059
_cell_angle_alpha 90.00
_cell_angle_beta 90.00
_cell_angle_gamma 90.00
loop_
_atom_site_label
_atom_site_fract_x
_atom_site_fract_y
_atom_site_fract_z
Mg1 0.0000 0.0000 0.0000
Ta1 0.5000 0.5000 0.3295
Co1 0.0000 0.0000 0.5762
Co2 0.5000 0.5000 0.7522
# - Energy of formation: 168 meV/atom
# - Total energy: -29.07 eV per cell
# - DOS(E_F): 0.91 states/eV per atom
# - M_tot: 2.76 μB/cell

12.
# PBEsol MgTaCo, relaxed
data_MgTaCo
_space_group_name_H-M_alt 'I 4 m m'
_space_group_IT_number 107
_space_group_name_Hall 'I 4 -2'
_cell_length_a 2.9030
_cell_length_b 2.9030
_cell_length_c 11.0694
_cell_angle_alpha 90.00
_cell_angle_beta 90.00
_cell_angle_gamma 90.00
loop_
_atom_site_label
_atom_site_fract_x
_atom_site_fract_y
_atom_site_fract_z
Mg1 0.0000 0.0000 0.0000
Ta1 0.0000 0.0000 0.2875
Co1 0.0000 0.0000 0.6584
# - Excess energy over the best structure of this formula in the dataset: 0.0 kJ/mol of atoms
# - Energy of formation: 89 meV/atom
# - Total energy: -43.48 eV per cell
# - DOS(E_F): 0.80 states/eV per atom
# - M_tot: 0.01 μB/cell

13.
# PBEsol MgCoTc, relaxed
data_MgCoTc
_space_group_name_H-M_alt 'I 4 m m'
_space_group_IT_number 107
_space_group_name_Hall 'I 4 -2'
_cell_length_a 2.7356
_cell_length_b 2.7356
_cell_length_c 11.0224
_cell_angle_alpha 90.00
_cell_angle_beta 90.00
_cell_angle_gamma 90.00
loop_
_atom_site_label
_atom_site_fract_x
_atom_site_fract_y
_atom_site_fract_z
Mg1 0.0000 0.0000 0.0000
Co1 0.0000 0.0000 0.6705
Tc1 0.0000 0.0000 0.3033
# - Energy of formation: 123 meV/atom
# - Total energy: -40.70 eV per cell
# - DOS(E_F): 0.82 states/eV per atom
# - M_tot: 0.62 μB/cell

14.
# PBEsol MgCoTc2, relaxed
data_MgCoTc2
_space_group_name_H-M_alt 'C 1 2/m 1'
_space_group_IT_number 12
_space_group_name_Hall '-C 2y'
_cell_length_a 5.0532
_cell_length_b 8.5780
_cell_length_c 2.5859
_cell_angle_alpha 90.00
_cell_angle_beta 104.63
_cell_angle_gamma 90.00
loop_
_atom_site_label
_atom_site_fract_x
_atom_site_fract_y
_atom_site_fract_z
Mg1 0.0000 0.0000 0.0000
Co1 0.0000 0.5000 0.0000
Tc1 0.2500 0.2500 0.5000
# - Energy of formation: 304 meV/atom
# - Total energy: -61.54 eV per cell
# - DOS(E_F): 1.15 states/eV per atom
# - M_tot: 2.08 μB/cell

15.
# PBEsol Mg2CoTc, relaxed
data_Mg2CoTc
_space_group_name_H-M_alt 'P 4/m m m'
_space_group_IT_number 123
_space_group_name_Hall '-P 4 2'
_cell_length_a 2.6367
_cell_length_b 2.6367
_cell_length_c 8.3996
_cell_angle_alpha 90.00
_cell_angle_beta 90.00
_cell_angle_gamma 90.00
loop_
_atom_site_label
_atom_site_fract_x
_atom_site_fract_y
_atom_site_fract_z
Mg1 0.0000 0.0000 0.2348
Co1 0.5000 0.5000 0.0000
Tc1 0.5000 0.5000 0.5000
# - Excess energy over the best structure of this formula in the dataset: 0.0 kJ/mol of atoms
# - Energy of formation: 313 meV/atom
# - Total energy: -21.19 eV per cell
# - DOS(E_F): 0.91 states/eV per atom
# - M_tot: 1.27 μB/cell